Density functional theory data (PBE-GGA) for a relaxed Tb2Ho2Tm7 crystal.

Cell lengths 5.9621, 7.9197, 7.9197 Å; angles 92.13, 73.88, 73.88 degrees
Closest atoms and distances in Å follow each position.
Fractional coordinates of all 11 atoms:
Tb1 0.5000 0.2133 0.7867  6 Tm 3.22-3.42
Tb2 0.5000 0.7867 0.2133  6 Tm 3.22-3.42
Tm1 0.5810 0.7681 0.7681  5 Tm 3.31-3.51, 3 Ho 3.38-3.64, 2 Tb 3.42
Tm2 0.4190 0.2319 0.2319  5 Tm 3.31-3.51, 3 Ho 3.38-3.64, 2 Tb 3.42
Tm3 0.0000 0.0000 0.0000  6 Tm 3.23-3.38
Tm4 0.1762 0.0645 0.5894  6 Tm 3.19-3.55, 2 Tb 3.22-3.38
Tm5 0.8238 0.9355 0.4106  6 Tm 3.19-3.55, 2 Tb 3.22-3.38
Tm6 0.8238 0.4106 0.9355  6 Tm 3.19-3.55, 2 Tb 3.22-3.38
Tm7 0.1762 0.5894 0.0645  6 Tm 3.19-3.55, 2 Tb 3.22-3.38
Ho1 0.8061 0.4072 0.4072  7 Tm 3.38-3.71, 2 Ho 3.39-3.64, 2 Tb 3.68
Ho2 0.1939 0.5928 0.5928  7 Tm 3.38-3.71, 2 Ho 3.39-3.64, 2 Tb 3.68

* magnetic moment: 0.000 μB per cell
* energy of formation from the pure elements: 164 meV per atom